This record from Alexandria describes a relaxed structure of KYV2O8. The functional is PBE with a Hubbard U.

As for the calculated total energy: -85.6 eV per formula unit. The space group is No. 164. The calculation puts the total magnetic moment at 2.02 μB per formula unit.

```
12
Lattice="5.909 0.000 0.000 -2.954 5.117 0.000 0.000 0.000 7.695" Properties=species:S:1:pos:R:3 pbc="T T T"
K 0.000 0.000 0.000
Y 0.000 0.000 3.848
V 0.000 3.412 1.876
V 2.954 1.706 5.819
O 0.000 1.759 2.436
O -1.431 4.238 2.436
O 0.000 3.412 0.161
O 1.523 0.879 5.259
O 1.431 4.238 2.436
O 2.954 1.706 7.534
O 4.386 0.879 5.259
O 2.954 3.358 5.259
```